No. 1
Material: La8GaTc2
Method: DFT, PBE
State: relaxed

a b c (Å): 8.1008 8.1008 6.1147
angles (deg): 98.88 98.88 115.57
With the nearest neighbours (Å) after each atom.
Fractional positions:
La (0.0000, 0.0000, 0.0000)  2 Tc 3.16, 1 Ga 3.25
La (0.0015, 0.2740, 0.5695)  1 Tc 2.51
La (0.1005, 0.5470, 0.1779)  1 Ga 3.19, 2 Tc 3.24-3.44, 2 La 3.39-3.46
La (0.2740, 0.0015, 0.5695)  1 Tc 2.51
La (0.4453, 0.7074, 0.7792)  1 Tc 2.62
La (0.5470, 0.1005, 0.1779)  1 Ga 3.19, 2 Tc 3.24-3.44, 2 La 3.39-3.46
La (0.7074, 0.4453, 0.7792)  1 Tc 2.62
La (0.7469, 0.7469, 0.4144)  1 Ga 3.15, 2 Tc 3.48, 2 La 3.50
Ga (0.3691, 0.3691, 0.3324)  8 La 3.15-3.36
Tc (0.1262, 0.7247, 0.7375)  2 La 2.51-2.62
Tc (0.7247, 0.1262, 0.7375)  2 La 2.51-2.62

Output
Uncorrected energy: -5.7990 eV/atom
Space-group type: Cm

=====

No. 2
Material: SrCa4Tl2
Method: DFT, PBE
State: relaxed

a b c (Å): 8.8192 6.9526 9.1273
angles (deg): 90.00 111.69 90.00
With the nearest neighbours (Å) after each atom.
Fractional positions:
Sr (0.0047, 0.2500, 0.1466)  4 Tl 3.49-3.76, 1 Ca 3.84
Sr (0.9953, 0.7500, 0.8534)  4 Tl 3.49-3.76, 1 Ca 3.84
Ca (0.2369, 0.5007, 0.5778)  4 Tl 3.28-3.46, 2 Ca 3.47-3.49
Ca (0.2369, 0.9993, 0.5778)  4 Tl 3.28-3.46, 2 Ca 3.47-3.49
Ca (0.3430, 0.7500, 0.2597)  2 Tl 3.22-3.26
Ca (0.3937, 0.2500, 0.0135)  2 Tl 3.21-3.26
Ca (0.6063, 0.7500, 0.9865)  2 Tl 3.21-3.26
Ca (0.6570, 0.2500, 0.7403)  2 Tl 3.22-3.26
Ca (0.7631, 0.0007, 0.4222)  4 Tl 3.28-3.46, 2 Ca 3.47-3.49
Ca (0.7631, 0.4993, 0.4222)  4 Tl 3.28-3.46, 2 Ca 3.47-3.49
Tl (0.0278, 0.2500, 0.7433)  6 Ca 3.26-3.46
Tl (0.4217, 0.2500, 0.3742)  6 Ca 3.21-3.37, 1 Sr 3.49
Tl (0.5783, 0.7500, 0.6258)  6 Ca 3.21-3.37, 1 Sr 3.49
Tl (0.9722, 0.7500, 0.2567)  6 Ca 3.26-3.46

Output
Uncorrected energy: -2.3258 eV/atom
Space-group type: P2_1/m
Offset from the most stable computed form: 0 meV/atom

=====

No. 3
Material: CaIn2Br6
Method: DFT, PBE
State: relaxed

a b c (Å): 9.0132 9.0132 9.0132
angles (deg): 49.02 49.02 49.02
With the nearest neighbours (Å) after each atom.
Fractional positions:
Ca (0.0000, 0.0000, 0.0000)  6 Br 3.01-3.02
In (0.2759, 0.2759, 0.2759)  3 Br 2.62, 1 In 2.71
In (0.3902, 0.3902, 0.3902)  3 Br 2.62, 1 In 2.71
Br (0.1237, 0.3582, 0.7848)  1 In 2.62
Br (0.1815, 0.9447, 0.6076)  1 In 2.62
Br (0.3582, 0.7848, 0.1237)  1 In 2.62
Br (0.6076, 0.1815, 0.9447)  1 In 2.62
Br (0.7848, 0.1237, 0.3582)  1 In 2.62
Br (0.9447, 0.6076, 0.1815)  1 In 2.62

Output
Uncorrected energy: -3.0706 eV/atom
Uncorrected formation energy: -1.124 eV per atom
Space-group type: R3
Offset from the most stable computed form: 0 meV/atom

=====

No. 4
Material: GaPd2Au2
Method: DFT, PBE
State: relaxed

a b c (Å): 10.5188 5.6284 5.6771
angles (deg): 90.00 99.24 90.00
With the nearest neighbours (Å) after each atom.
Fractional positions:
Ga (0.1737, 0.0033, 0.0471)  5 Pd 2.54-2.72, 4 Au 2.74-2.83
Ga (0.1737, 0.4967, 0.5471)  5 Pd 2.54-2.72, 4 Au 2.74-2.83
Ga (0.8263, 0.5033, 0.4529)  5 Pd 2.54-2.72, 4 Au 2.74-2.83
Ga (0.8263, 0.9967, 0.9529)  5 Pd 2.54-2.72, 4 Au 2.74-2.83
Pd (0.0006, 0.7474, 0.7475)  4 Ga 2.66-2.72, 4 Pd 2.81-2.84, 4 Au 2.85-2.88
Pd (0.0006, 0.7526, 0.2475)  4 Ga 2.66-2.72, 4 Pd 2.81-2.84, 4 Au 2.85-2.88
Pd (0.3791, 0.1687, 0.2860)  1 Ga 2.54, 4 Au 2.80-2.84
Pd (0.3791, 0.3313, 0.7860)  1 Ga 2.54, 4 Au 2.80-2.84
Pd (0.6209, 0.6687, 0.2140)  1 Ga 2.54, 4 Au 2.80-2.84
Pd (0.6209, 0.8313, 0.7140)  1 Ga 2.54, 4 Au 2.80-2.84
Pd (0.9994, 0.2474, 0.7525)  4 Ga 2.66-2.72, 4 Pd 2.81-2.84, 4 Au 2.85-2.88
Pd (0.9994, 0.2526, 0.2525)  4 Ga 2.66-2.72, 4 Pd 2.81-2.84, 4 Au 2.85-2.88
Au (0.1976, 0.5024, 0.0579)  6 Pd 2.81-2.88, 4 Ga 2.82-2.87, 2 Au 2.86-2.95
Au (0.1976, 0.9976, 0.5579)  6 Pd 2.81-2.88, 4 Ga 2.82-2.87, 2 Au 2.86-2.95
Au (0.3953, 0.6769, 0.4224)  1 Ga 2.74, 5 Pd 2.80-2.96, 5 Au 2.86-3.00
Au (0.3953, 0.8231, 0.9224)  1 Ga 2.74, 5 Pd 2.80-2.96, 5 Au 2.86-3.00
Au (0.6047, 0.1769, 0.0776)  1 Ga 2.74, 5 Pd 2.80-2.96, 5 Au 2.86-3.00
Au (0.6047, 0.3231, 0.5776)  1 Ga 2.74, 5 Pd 2.80-2.96, 5 Au 2.86-3.00
Au (0.8024, 0.0024, 0.4421)  6 Pd 2.81-2.88, 4 Ga 2.82-2.87, 2 Au 2.86-2.95
Au (0.8024, 0.4976, 0.9421)  6 Pd 2.81-2.88, 4 Ga 2.82-2.87, 2 Au 2.86-2.95

Output
Uncorrected energy: -4.2846 eV/atom
Space-group type: P2_1/c
Offset from the most stable computed form: 0 meV/atom